DFT (PBE) results for crystalline Th2Si at its relaxed geometry.

## Properties
Total moment: 2.94 μB/f.u.
Space group: No. 227
Total DFT energy (no corrections): -4.9288 eV per atom

Lattice parameters (Å, degrees): 8.922 8.922 8.922 60.00 60.00 60.00
Sites, in units of the cell vectors:
Th  0.000  0.000  0.000
Th  0.000  0.000  0.500
Th  0.000  0.500  0.000
Th  0.500  0.000  0.000
Si  0.125  0.125  0.125
Si  0.875  0.875  0.875